1.
Material: Ac3PrIrRh
Method: DFT, GGA-PBE
State: optimized geometry

Cell: 4.293 8.267 12.706 Å, 90.00 90.00 105.05°
Sites, in units of the cell vectors:
Rh (0.000, 0.000, 0.500)
Pr (0.241, 0.483, 0.250)
Ac (0.995, 0.990, 0.250)
Rh (0.000, 0.000, 0.000)
Ac (0.005, 0.010, 0.750)
Pr (0.759, 0.517, 0.750)
Ac (0.626, 0.252, 0.017)
Ac (0.374, 0.748, 0.517)
Ac (0.626, 0.252, 0.483)
Ac (0.374, 0.748, 0.983)
Ir (0.373, 0.746, 0.750)
Ir (0.627, 0.254, 0.250)

Output
SG	Cmcm
energy of formation from the pure elements	-493	meV per atom
calculated volume	36.29	A^3/atom

2.
Material: Ta6NbSb
Method: DFT, GGA-PBE
State: optimized geometry

Cell: 3.456 5.380 8.713 Å, 79.50 78.56 71.26°
Sites, in units of the cell vectors:
Ta (0.258, 0.361, 0.123)
Ta (0.507, 0.742, 0.244)
Ta (0.238, 0.894, 0.630)
Sb (0.000, 0.500, 0.500)
Ta (0.742, 0.639, 0.877)
Ta (0.493, 0.258, 0.756)
Nb (0.000, 0.000, 0.000)
Ta (0.762, 0.106, 0.370)

Output
SG	C2/m
ΔE_f (raw)	-0.003	eV/atom
calculated volume	18.64	A^3/atom

3.
Material: KCuPH2O5
Method: DFT, GGA-PBE
State: optimized geometry

Cell: 6.839 6.918 10.646 Å, 86.13 90.00 90.00°
Each line ends with the local moment (μB).
Sites, in units of the cell vectors:
H (0.618, 0.823, 0.404)  0.00
O (0.468, 0.171, 0.085)  0.14
O (0.336, 0.302, 0.555)  0.00
O (0.120, 0.324, 0.163)  0.08
Cu (0.794, 0.777, 0.993)  0.61
O (0.164, 0.802, 0.555)  0.00
O (0.532, 0.829, 0.915)  0.14
P (0.968, 0.489, 0.176)  0.00
O (0.967, 0.543, 0.313)  0.04
O (0.742, 0.933, 0.134)  0.08
H (0.775, 0.654, 0.394)  0.00
Cu (0.206, 0.223, 0.007)  0.61
K (0.575, 0.559, 0.682)  0.00
H (0.118, 0.677, 0.596)  0.00
P (0.032, 0.511, 0.824)  0.00
O (0.880, 0.676, 0.837)  0.08
H (0.275, 0.846, 0.606)  0.00
K (0.075, 0.941, 0.318)  0.00
O (0.758, 0.433, 0.134)  0.08
O (0.664, 0.698, 0.445)  0.00
H (0.382, 0.177, 0.596)  0.00
O (0.467, 0.957, 0.687)  0.04
H (0.882, 0.323, 0.404)  0.00
K (0.925, 0.059, 0.682)  0.00
P (0.468, 0.011, 0.824)  0.00
Cu (0.706, 0.277, 0.993)  0.61
O (0.968, 0.329, 0.915)  0.14
O (0.836, 0.198, 0.445)  0.00
H (0.225, 0.346, 0.606)  0.00
K (0.425, 0.441, 0.318)  0.00
O (0.380, 0.824, 0.163)  0.08
Cu (0.294, 0.723, 0.007)  0.61
O (0.242, 0.567, 0.866)  0.08
H (0.725, 0.154, 0.394)  0.00
O (0.032, 0.671, 0.085)  0.14
O (0.620, 0.176, 0.837)  0.08
O (0.258, 0.067, 0.866)  0.08
P (0.532, 0.989, 0.176)  0.00
O (0.533, 0.043, 0.313)  0.04
O (0.033, 0.457, 0.687)  0.04

Output
calculated total energy	-231.43	eV for the cell shown
SG	P2_1/c
calculated volume	12.56	A^3/atom

4.
Material: LaNi6Sn6
Method: DFT, GGA-PBE
State: optimized geometry

Cell: 5.500 7.017 7.017 Å, 77.27 66.93 66.93°
Sites, in units of the cell vectors:
Sn (0.339, 0.661, 0.661)
Ni (0.500, 0.751, 0.249)
Sn (0.327, 0.173, 0.173)
Sn (0.673, 0.827, 0.827)
Ni (0.500, 0.500, 0.000)
Sn (0.000, 0.660, 0.340)
Ni (0.500, 0.000, 0.500)
Ni (0.000, 0.000, 0.500)
La (0.000, 0.000, 0.000)
Sn (0.000, 0.340, 0.660)
Ni (0.000, 0.500, 0.000)
Sn (0.661, 0.339, 0.339)
Ni (0.500, 0.249, 0.751)

Output
SG	Immm
energy of formation from the pure elements	-293	meV per atom
calculated volume	17.58	A^3/atom

5.
Material: BaB4
Method: DFT, GGA-PBE
State: optimized geometry

Cell: 5.019 5.019 5.019 Å, 90.00 90.00 90.00°
Sites, in units of the cell vectors:
Ba (0.500, 0.500, 0.500)
B (0.500, 0.500, 0.000)
B (0.000, 0.000, 0.000)
B (0.500, 0.000, 0.500)
B (0.000, 0.500, 0.500)

Output
SG	Pm-3m
energy of formation from the pure elements	3734	meV per atom
calculated volume	25.29	A^3/atom

6.
Material: Nd2Cu3HgGe4
Method: DFT, GGA-PBE
State: optimized geometry

Cell: 4.299 4.299 10.367 Å, 90.00 90.00 90.00°
Sites, in units of the cell vectors:
Cu (0.500, 0.000, 0.879)
Cu (0.000, 0.500, 0.121)
Nd (0.000, 0.500, 0.759)
Ge (0.000, 0.000, 0.000)
Cu (0.000, 0.000, 0.500)
Ge (0.500, 0.500, 0.000)
Nd (0.500, 0.000, 0.241)
Hg (0.500, 0.500, 0.500)
Ge (0.500, 0.000, 0.650)
Ge (0.000, 0.500, 0.350)

Output
SG	P-4m2
energy of formation from the pure elements	-425	meV per atom
calculated volume	19.16	A^3/atom

7.
Material: Sn2GeTe2
Method: DFT, GGA-PBE
State: optimized geometry

Cell: 8.262 8.262 4.362 Å, 90.00 90.00 90.00°
Sites, in units of the cell vectors:
Te (0.333, 0.833, 0.000)
Sn (0.147, 0.647, 0.500)
Te (0.833, 0.667, 0.000)
Te (0.167, 0.333, 0.000)
Ge (0.000, 0.000, 0.000)
Sn (0.647, 0.853, 0.500)
Sn (0.853, 0.353, 0.500)
Te (0.667, 0.167, 0.000)
Ge (0.500, 0.500, 0.000)
Sn (0.353, 0.147, 0.500)

Output
SG	P4/mbm
ΔE_f (raw)	0.105	eV/atom
calculated volume	29.78	A^3/atom

8.
Material: BaP2Rh
Method: DFT, GGA-PBE
State: optimized geometry

Cell: 4.428 4.379 4.379 Å, 90.00 90.00 90.00°
Sites, in units of the cell vectors:
P (0.000, 0.500, 0.500)
Ba (0.500, 0.000, 0.500)
P (0.000, 0.000, 0.000)
Rh (0.500, 0.500, 0.000)

Output
SG	P4/mmm
energy of formation from the pure elements	299	meV per atom
calculated volume	21.23	A^3/atom